Below is an optimized crystal structure of Sm3Cd2Ag9, with properties calculated at the GGA-PBE level.

Structure (POSCAR):
```
Sm3Cd2Ag9
1.0
-2.333 4.925 6.759
2.333 -4.925 6.759
2.333 4.925 -6.759
Sm Cd Ag
3 2 9
Cartesian
0.000 0.000 0.000 Sm
0.000 0.000 3.924 Sm
0.000 0.000 9.594 Sm
2.333 3.142 0.000 Cd
0.000 1.782 6.759 Cd
2.333 -1.348 2.170 Ag
2.333 -2.112 4.916 Ag
2.333 1.348 2.170 Ag
0.000 2.812 1.843 Ag
0.000 4.925 0.000 Ag
2.333 2.112 4.916 Ag
0.000 3.577 4.589 Ag
0.000 7.037 1.843 Ag
0.000 6.272 4.589 Ag
```

## Properties
Formation energy from the elements (eV per atom): -0.184